{
  "formula": "NaInSe",
  "functional": "PBE",
  "state": "relaxed",
  "lattice": [[3.717, 0.000, 0.000], [0.000, 3.717, 0.000], [-1.858, -1.858, 5.825]],
  "species": ["Na", "Se", "In"],
  "frac_coords": [[0.307, 0.307, 0.613], [0.958, 0.958, 0.917], [0.585, 0.585, 0.170]],
  "polymorph_energy_mev_per_atom": 115,
  "e_tot_ev_per_atom": -3.049,
  "e_form_raw_mev_per_atom": -535
}